VASP calculation (PBE-GGA) on an optimized crystal structure of NaYIn4O8.

abc: 6.6050 6.6050 6.6379
angles: 60.16 60.16 60.00
Fractional coordinates of all 14 atoms:
O 0.2263 0.7544 0.2650
Y 0.0039 0.0039 0.9884
Na 0.3767 0.3767 0.8698
In 0.6218 0.6218 0.1346
O 0.2369 0.2369 0.2894
O 0.2406 0.2406 0.7290
O 0.7899 0.2406 0.7290
In 0.0035 0.0035 0.5031
O 0.7544 0.2263 0.2650
O 0.7544 0.7544 0.2650
In 0.0035 0.4899 0.5031
O 0.2406 0.7899 0.7290
In 0.4899 0.0035 0.5031
O 0.7578 0.7578 0.7266

Output
**Space group**: R3m (160)
**Volume**: 205.28 Å³/cell
**Formation energy (no corrections)**: -1.8538 eV per atom
**Total DFT energy (no corrections)**: -6.025 eV per atom
**Magnetization**: 0.00 μB per cell

VASP calculation (PBE-GGA) on an optimized crystal structure of Na3ZnIn2O6.

abc: 5.5892 5.5892 5.8115
angles: 99.12 99.12 120.14
Fractional coordinates of all 12 atoms:
O 0.0711 0.3970 0.2137
Zn 0.0000 0.0000 0.0000
In 0.3329 0.6671 0.0000
Na 0.8381 0.1619 0.5000
O 0.7462 0.7462 0.2096
O 0.9289 0.6030 0.7863
In 0.6671 0.3329 0.0000
Na 0.1619 0.8381 0.5000
O 0.3970 0.0711 0.2137
Na 0.5000 0.5000 0.5000
O 0.2538 0.2538 0.7904
O 0.6030 0.9289 0.7863

Output
**Space group**: C2/m (12)
**Volume**: 148.87 Å³/cell
**Formation energy (no corrections)**: -1.4537 eV per atom
**Total DFT energy (no corrections)**: -4.825 eV per atom
**Magnetization**: 1.09 μB per cell

VASP calculation (PBE-GGA) on an optimized crystal structure of Na2Zn2InO4.

abc: 3.1846 7.4576 9.9405
angles: 143.93 90.00 102.33
Fractional coordinates of all 9 atoms:
O 0.7432 0.4864 0.7683
Zn 0.7069 0.4138 0.0536
Zn 0.2931 0.5862 0.9464
Na 0.1384 0.2768 0.4818
Na 0.8616 0.7232 0.5182
O 0.2568 0.5136 0.2317
O 0.4585 0.9171 0.7974
O 0.5415 0.0829 0.2026
In 0.0000 0.0000 0.0000

Output
**Space group**: C2/m (12)
**Volume**: 129.52 Å³/cell
**Formation energy (no corrections)**: -1.3109 eV per atom
**Total DFT energy (no corrections)**: -4.395 eV per atom
**Magnetization**: 0.00 μB per cell

VASP calculation (PBE-GGA) on an optimized crystal structure of NaZrIn4O8.

abc: 6.6002 6.6002 6.5439
angles: 59.71 59.71 60.00
Fractional coordinates of all 14 atoms:
O 0.2475 0.2475 0.2576
In 0.9988 0.9988 0.4956
O 0.2576 0.2576 0.7315
O 0.2576 0.7534 0.7315
Na 0.0003 0.0003 0.9991
O 0.7534 0.2576 0.7315
In 0.9988 0.5068 0.4956
Zr 0.3800 0.3800 0.8601
In 0.5068 0.9988 0.4956
O 0.7482 0.2261 0.2775
O 0.7482 0.7482 0.2775
In 0.6199 0.6199 0.1402
O 0.7569 0.7569 0.7293
O 0.2261 0.7482 0.2775

Output
**Space group**: R3m (160)
**Volume**: 200.70 Å³/cell
**Formation energy (no corrections)**: -1.8077 eV per atom
**Total DFT energy (no corrections)**: -6.128 eV per atom
**Magnetization**: 0.00 μB per cell